{
  "formula": "Ba2SeSCl",
  "functional": "PBE-GGA",
  "state": "relaxed",
  "spacegroup": "No. 123",
  "vol_a3_per_atom": 38.9,
  "mass_density_g_cm3": 3.593,
  "e_form_raw_ev_per_fu": -5.8,
  "lattice_angstrom": [[6.1647, 0.0000, 0.0000], [0.0000, 5.1216, 0.0000], [0.0000, 0.0000, 6.1647]],
  "species": ["Se", "S", "Ba", "Ba", "Cl"],
  "frac_coords": [[0.0000, 0.0000, 0.0000], [0.5000, 0.5000, 0.5000], [0.5000, 0.0000, 0.0000], [0.0000, 0.0000, 0.5000], [0.0000, 0.5000, 0.0000]]
}

{
  "formula": "AlZn",
  "functional": "PBE-GGA",
  "state": "relaxed",
  "spacegroup": "No. 227",
  "vol_a3_per_atom": 16.6,
  "e_form_ev_per_atom": 0.158,
  "mass_density_g_cm3": 4.615,
  "lattice_angstrom": [[-3.4869, -1.4971, 2.5057], [-3.5070, -2.0899, -2.0028], [-0.6239, -4.4655, 0.5900]],
  "species": ["Al", "Al", "Zn", "Zn"],
  "frac_coords": [[0.2500, 0.2500, 0.2500], [0.0000, 0.0000, 0.0000], [0.7500, 0.7500, 0.7500], [0.5000, 0.5000, 0.5000]]
}

{
  "formula": "Th4GeOs2",
  "functional": "PBE-GGA",
  "state": "relaxed",
  "spacegroup": "No. 43",
  "vol_a3_per_atom": 25.9,
  "e_form_ev_per_atom": -0.387,
  "mass_density_g_cm3": 12.671,
  "lattice_angstrom": [[-6.0115, 4.8510, -0.6139], [-0.8658, -6.2892, -4.4478], [0.4620, -2.3444, 7.4356]],
  "species": ["Th", "Th", "Th", "Th", "Th", "Th", "Th", "Th", "Ge", "Ge", "Os", "Os", "Os", "Os"],
  "frac_coords": [[0.3881, 0.5072, 0.2498], [0.4906, 0.7389, 0.8759], [0.7569, 0.1380, 0.7500], [0.9892, 0.2407, 0.3757], [0.8640, 0.6154, 0.1241], [0.2574, 0.1388, 0.7503], [0.8651, 0.6137, 0.6239], [0.3890, 0.0078, 0.2503], [0.9999, 0.9995, 0.0000], [0.2499, 0.7501, 0.5003], [0.1261, 0.5021, 0.8789], [0.7522, 0.8764, 0.3788], [0.6237, 0.2481, 0.1209], [0.4978, 0.3735, 0.6210]]
}

{
  "formula": "ThMg4Zn2",
  "functional": "PBE-GGA",
  "state": "relaxed",
  "spacegroup": "No. 166",
  "vol_a3_per_atom": 22.1,
  "e_form_ev_per_atom": -0.093,
  "mass_density_g_cm3": 4.938,
  "lattice_angstrom": [[-0.2646, 4.1875, 2.1669], [1.6438, 0.4898, 4.3999], [7.6614, 3.5194, -0.7199]],
  "species": ["Th", "Mg", "Mg", "Mg", "Mg", "Zn", "Zn"],
  "frac_coords": [[0.0000, 0.0000, 0.0000], [0.8592, 0.8592, 0.4225], [0.4219, 0.4219, 0.7344], [0.1408, 0.1408, 0.5775], [0.5781, 0.5781, 0.2656], [0.7363, 0.7363, 0.7910], [0.2637, 0.2637, 0.2090]]
}